{"formula": "U2Zn12Ga5", "functional": "GGA-PBE", "state": "relaxed", "lattice": [[-6.781, -0.538, -1.016], [0.099, -6.757, -1.281], [-1.447, -1.876, 6.457]], "species": ["Ga", "Ga", "Ga", "Ga", "Ga", "Zn", "Zn", "Zn", "Zn", "Zn", "Zn", "Zn", "Zn", "Zn", "Zn", "Zn", "Zn", "U", "U"], "frac_coords": [[0.000, 0.500, 0.000], [0.098, 0.098, 0.098], [0.902, 0.902, 0.902], [0.000, 0.000, 0.500], [0.500, 0.000, 0.000], [0.682, 0.318, 0.000], [0.648, 0.648, 0.178], [0.318, 0.682, 0.000], [0.822, 0.352, 0.352], [0.352, 0.822, 0.352], [0.000, 0.318, 0.682], [0.000, 0.682, 0.318], [0.352, 0.352, 0.822], [0.648, 0.178, 0.648], [0.178, 0.648, 0.648], [0.682, 0.000, 0.318], [0.318, 0.000, 0.682], [0.328, 0.328, 0.328], [0.672, 0.672, 0.672]], "dft_energy_ev_per_atom": -2.81, "density_kg_m3": 8311}

***

{"formula": "CaMgBe", "functional": "GGA-PBE", "state": "relaxed", "lattice": [[-2.576, -3.586, 2.272], [2.387, -3.743, 2.226], [0.036, -0.325, 4.955]], "species": ["Mg", "Ca", "Be"], "frac_coords": [[0.000, 0.000, 0.000], [0.750, 0.750, 0.750], [0.500, 0.500, 0.500]], "dft_energy_ev_per_atom": -1.54, "density_kg_m3": 1407}

***

{"formula": "BC3", "functional": "GGA-PBE", "state": "relaxed", "lattice": [[5.706, -0.136, 0.000], [-4.645, 3.571, 0.000], [0.000, 0.000, 3.769]], "species": ["C", "C", "C", "C", "C", "C", "C", "C", "C", "B", "B", "B"], "frac_coords": [[0.993, 0.485, 0.754], [0.005, 0.019, 0.995], [0.333, 0.167, 0.765], [0.175, 0.342, 0.239], [0.833, 0.167, 0.502], [0.492, 0.992, 0.239], [0.662, 0.315, 0.995], [0.333, 0.667, 0.001], [0.674, 0.849, 0.754], [0.500, 0.505, 0.532], [0.833, 0.667, 0.193], [0.167, 0.828, 0.532]], "dft_energy_ev_per_atom": -8.25, "density_kg_m3": 3136}

***

{"formula": "PaHg2Au", "functional": "GGA-PBE", "state": "relaxed", "lattice": [[-0.750, 0.013, -3.003], [1.347, -2.000, -1.941], [-8.141, -8.272, 0.402]], "species": ["Hg", "Hg", "Au", "Pa"], "frac_coords": [[0.092, 0.092, 0.723], [0.908, 0.908, 0.277], [0.500, 0.500, 0.500], [0.000, 0.000, 0.000]], "dft_energy_ev_per_atom": -3.09, "density_kg_m3": 14462}

***

Number 1: energy of formation -0.02 eV/atom, DOS(E_F) 15.035 states/eV/f.u.. Number 2: energy of formation 0.90 eV/atom, DOS(E_F) 2.245 states/eV/f.u.. Number 3: energy of formation 0.34 eV/atom, DOS(E_F) 0.780 states/eV/f.u.. Number 4: energy of formation 0.26 eV/atom, DOS(E_F) 4.302 states/eV/f.u..